The following is a DFT calculation (PBE) of Tb2In2Sn3 after structural relaxation.

It has space group C2/m (No. 12), with a = 11.4525 Å, b = 4.8331 Å, c = 7.8305 Å, α = 90.00°, β = 108.87° and γ = 90.00°. The distinct sites, in fractional coordinates, are Tb at (0.0750, 0.0000, 0.2786), In at (0.1023, 0.5000, 0.6798), Sn at (0.0000, 0.5000, 0.0000) and Sn at (0.2405, 0.0000, 0.7030).

=====

The following is a DFT calculation (PBE) of TbInSn after structural relaxation.

It has space group Cmcm (No. 63), with a = 5.4649 Å, b = 8.4746 Å, c = 6.8605 Å, α = 90.00°, β = 90.00° and γ = 90.00°. The distinct sites, in fractional coordinates, are Tb at (0.0000, 0.0000, 0.0000), In at (0.0000, 0.3287, 0.2500) and Sn at (0.0000, 0.3293, 0.7500).

=====

The following is a DFT calculation (PBE) of Tb6InSn2 after structural relaxation.

It has space group P-62m (No. 189), with a = 8.3463 Å, b = 8.3463 Å, c = 4.4321 Å, α = 90.00°, β = 90.00° and γ = 120.00°. The distinct sites, in fractional coordinates, are Tb at (0.0000, 0.4064, 0.0000), Tb at (0.0000, 0.7412, 0.5000), In at (0.0000, 0.0000, 0.0000) and Sn at (0.3333, 0.6667, 0.5000).

=====

The following is a DFT calculation (PBE) of TbInSn3 after structural relaxation.

It has space group Pbcm (No. 57), with a = 13.3133 Å, b = 6.2857 Å, c = 6.4029 Å, α = 90.00°, β = 90.00° and γ = 90.00°. The distinct sites, in fractional coordinates, are Tb at (0.1887, 0.0105, 0.2500), In at (0.3813, 0.2500, 0.0000), Sn at (0.0007, 0.2500, 0.0000), Sn at (0.2118, 0.5146, 0.2500) and Sn at (0.4146, 0.7121, 0.7500).

=====

The following is a DFT calculation (PBE) of TbInSn after structural relaxation.

It has space group Cmcm (No. 63), with a = 4.6993 Å, b = 11.7036 Å, c = 6.2204 Å, α = 90.00°, β = 90.00° and γ = 90.00°. The distinct sites, in fractional coordinates, are Tb at (0.0000, 0.1432, 0.2500), In at (0.0000, 0.4599, 0.2500) and Sn at (0.0000, 0.1815, 0.7500).

=====

The following is a DFT calculation (PBE) of Tb2In3Sn3 after structural relaxation.

It has space group Pmmm (No. 47), with a = 4.6129 Å, b = 4.8482 Å, c = 9.1672 Å, α = 90.00°, β = 90.00° and γ = 90.00°. The distinct sites, in fractional coordinates, are Tb at (0.0000, 0.0000, 0.2490), In at (0.0000, 0.5000, 0.5000), In at (0.5000, 0.5000, 0.2538), Sn at (0.0000, 0.5000, 0.0000), Sn at (0.5000, 0.0000, 0.0000) and Sn at (0.5000, 0.0000, 0.5000).

=====

The following is a DFT calculation (PBE) of Tb6In5Sn after structural relaxation.

It has space group C2/m (No. 12), with a = 9.1581 Å, b = 16.1498 Å, c = 5.3882 Å, α = 90.00°, β = 125.95° and γ = 90.00°. The distinct sites, in fractional coordinates, are Tb at (0.2466, 0.0000, 0.2465), Tb at (0.2480, 0.1652, 0.7479), In at (0.0000, 0.1713, 0.0000), In at (0.0000, 0.3339, 0.5000), In at (0.0000, 0.5000, 0.0000) and Sn at (0.0000, 0.0000, 0.5000).

=====

The following is a DFT calculation (PBE) of Tb5In2Sn after structural relaxation.

It has space group I4/mcm (No. 140), with a = 8.3929 Å, b = 8.3929 Å, c = 13.1033 Å, α = 90.00°, β = 90.00° and γ = 90.00°. The distinct sites, in fractional coordinates, are Tb at (0.0000, 0.0000, 0.0000), Tb at (0.1576, 0.3424, 0.1516), In at (0.1394, 0.3606, 0.5000) and Sn at (0.0000, 0.0000, 0.2500).

=====

The following is a DFT calculation (PBE) of Tb7In2Sn2 after structural relaxation.

It has space group Cmmm (No. 65), with a = 8.1389 Å, b = 11.1658 Å, c = 7.6828 Å, α = 90.00°, β = 90.00° and γ = 90.00°. The distinct sites, in fractional coordinates, are Tb at (0.0000, 0.0000, 0.0000), Tb at (0.0000, 0.5000, 0.2692), Tb at (0.2500, 0.2500, 0.2856), In at (0.1749, 0.0000, 0.5000) and Sn at (0.0000, 0.2920, 0.0000).

=====

The following is a DFT calculation (PBE) of TbInSn after structural relaxation.

It has space group I4mm (No. 107), with a = 3.7760 Å, b = 3.7760 Å, c = 11.2351 Å, α = 90.00°, β = 90.00° and γ = 90.00°. The distinct sites, in fractional coordinates, are Tb at (0.0000, 0.0000, 0.0000), In at (0.0000, 0.0000, 0.3221) and Sn at (0.0000, 0.0000, 0.6796).

=====

The following is a DFT calculation (PBE) of TbInSn after structural relaxation.

It has space group P3m1 (No. 156), with a = 5.1872 Å, b = 5.1872 Å, c = 3.3787 Å, α = 90.00°, β = 90.00° and γ = 120.00°. The distinct sites, in fractional coordinates, are Tb at (0.0000, 0.0000, 0.0000), In at (0.3333, 0.6667, 0.4959) and Sn at (0.6667, 0.3333, 0.5036).

=====

The following is a DFT calculation (PBE) of Tb3InSn3 after structural relaxation.

It has space group P6_3/m (No. 176), with a = 8.7961 Å, b = 8.7961 Å, c = 5.6671 Å, α = 90.00°, β = 90.00° and γ = 120.00°. The distinct sites, in fractional coordinates, are Tb at (0.0912, 0.4457, 0.2500), In at (0.3333, 0.6667, 0.7500) and Sn at (0.0535, 0.2524, 0.7500).

=====

The following is a DFT calculation (PBE) of Tb3In4Sn2 after structural relaxation.

It has space group P-62m (No. 189), with a = 7.9475 Å, b = 7.9475 Å, c = 4.3507 Å, α = 90.00°, β = 90.00° and γ = 120.00°. The distinct sites, in fractional coordinates, are Tb at (0.0000, 0.3898, 0.0000), In at (0.0000, 0.0000, 0.0000), In at (0.0000, 0.7361, 0.5000) and Sn at (0.3333, 0.6667, 0.5000).

=====

Values for volume, Å³/cell, ordered as above
410; 318; 267; 536; 342; 205; 645; 923; 698; 160; 79; 380; 238
Values for formation energy, eV/atom, ordered as above
-0.31; -0.39; -0.48; -0.30; -0.39; -0.44; -0.49; -0.47; -0.22; -0.32; -0.38; -0.43; -0.42
Values for total magnetic moment, μB/atom, ordered as above
0.000; 0.000; 0.520; 0.000; 0.000; 0.000; 0.000; 0.000; 0.000; 0.007; 0.000; 0.000; 0.000